A relaxed structure of TlGeF3. Source: the Alexandria database, functional PBE.

## Properties
Energy above the lowest structure with this stoichiometry (eV per formula unit): 0.57

abc: 15.230 3.477 7.258
angles: 90.00 99.31 90.00
Space group C2/m (No. 12)
Symmetry-distinct sites (fractional):
Tl 0.163 0.000 0.225
Ge 0.094 0.500 0.678
F 0.021 0.000 0.759
F 0.154 0.500 0.925
F 0.191 0.000 0.644